DFT (PBE) results for crystalline Ce3SiB2Rh9 at its relaxed geometry.

The structure in extended XYZ format:
```
15
Lattice="6.105 0.000 0.000 -3.053 5.287 0.000 0.000 0.000 7.513" Properties=species:S:1:pos:R:3 pbc="T T T"
Ce 0.000 0.000 0.000
Ce 0.000 3.525 5.002
Ce 3.053 1.762 2.511
Si 0.000 0.000 3.757
B 0.000 3.525 1.130
B 3.053 1.762 6.383
Rh -1.526 2.644 0.000
Rh 0.000 1.852 2.402
Rh -1.449 4.361 2.402
Rh 1.604 0.926 5.111
Rh 3.053 0.000 0.000
Rh 1.526 2.644 0.000
Rh 1.449 4.361 2.402
Rh 4.501 0.926 5.111
Rh 3.053 3.435 5.111
```

---

DFT (PBE) results for crystalline OF3 at its relaxed geometry.

The structure in extended XYZ format:
```
8
Lattice="2.940 -4.494 0.000 2.940 4.494 0.000 0.000 0.000 4.616" Properties=species:S:1:pos:R:3 pbc="T T T"
O 2.940 3.172 3.462
O 2.940 -3.172 1.154
F 1.646 0.949 1.154
F 2.940 1.779 3.462
F 1.646 -0.949 3.462
F 4.234 0.949 1.154
F 2.940 -1.779 1.154
F 4.234 -0.949 3.462
```

---

Number 1: formation energy (no corrections) -0.74 eV/atom. Number 2: formation energy (no corrections) 0.20 eV/atom.